A plane-wave DFT calculation with GGA+U was carried out for a relaxed RbNa2CrO4 crystal.

Lattice parameters (Å, degrees): 5.638 5.638 5.638 117.54 117.54 94.31
Fractional coordinates of all 8 atoms:
Rb 0.000 0.000 0.000
Na 0.250 0.750 0.500
Na 0.750 0.250 0.500
Cr 0.500 0.500 0.000
O 0.197 0.197 0.661
O 0.464 0.803 0.000
O 0.536 0.536 0.339
O 0.803 0.464 0.000

Calculated values
Total moment in μB per formula unit: 1.00
Space group: I-42m, No. 121
Total energy in Ry/atom: -0.4045